! PmZn8Cu4 PBE relaxed; values from VASP
&SYSTEM
  ibrav = 0, nat = 13, ntyp = 3
/
ATOMIC_SPECIES
Cu 63.55 Cu.upf
Zn 65.41 Zn.upf
Pm 145.00 Pm.upf
CELL_PARAMETERS angstrom
-3.545 -5.628 1.032
4.841 3.421 3.188
-4.999 4.406 0.952
ATOMIC_POSITIONS crystal
Cu 0.000 0.500 0.000
Zn 0.650 0.000 0.650
Zn 0.000 0.650 0.650
Zn 0.722 0.500 0.222
Cu 0.500 0.500 0.500
Zn 0.278 0.500 0.778
Zn 0.350 0.000 0.350
Cu 0.000 0.000 0.500
Zn 0.500 0.722 0.222
Pm 0.000 0.000 0.000
Zn 0.500 0.278 0.778
Cu 0.500 0.000 0.000
Zn 0.000 0.350 0.350
! - Energy of formation from the pure elements: -205 meV/atom

! PmZnCu PBE relaxed; values from VASP
&SYSTEM
  ibrav = 0, nat = 3, ntyp = 3
/
ATOMIC_SPECIES
Zn 65.41 Zn.upf
Pm 145.00 Pm.upf
Cu 63.55 Cu.upf
CELL_PARAMETERS angstrom
0.000 3.213 3.213
3.213 0.000 3.213
3.213 3.213 0.000
ATOMIC_POSITIONS crystal
Zn 0.750 0.750 0.750
Pm 0.250 0.250 0.250
Cu 0.000 0.000 0.000
! - Energy of formation from the pure elements: -119 meV/atom

Q: Look up the energy of formation from the pure elements of the first one.
A: -205 meV/atom

Q: Among the records above, which one has the highest energy of formation from the pure elements?
A: PmZnCu

Q: Look up the energy of formation from the pure elements of the second one.
A: -119 meV/atom